1.
VASP calculation (GGA-PBE) on a relaxed structure of Sr3PBr. Values from VASP.

Geometry as Quantum ESPRESSO input:
```
&SYSTEM
  ibrav = 0, nat = 5, ntyp = 3
/
ATOMIC_SPECIES
Sr 87.62 Sr.upf
P 30.97 P.upf
Br 79.90 Br.upf
ATOMIC_POSITIONS crystal
Sr 0.000 0.000 0.500
Sr 0.000 0.500 0.000
Sr 0.500 0.000 0.000
P 0.000 0.000 0.000
Br 0.500 0.500 0.500
CELL_PARAMETERS angstrom
5.932 0.000 0.000
0.000 5.932 0.000
0.000 0.000 5.932
```

For the density of states at the Fermi level, the calculation gives 3.8 states/eV/f.u. The magnetization is 0.000 μB/atom. The total energy comes out at -16.29 eV/cell. As for the space group: Pm-3m, No. 221. The raw formation energy is -80 kJ/mol of atoms.

2.
VASP calculation (GGA-PBE) on a relaxed structure of Sr8P5Br. Values from VASP.

Geometry as Quantum ESPRESSO input:
```
&SYSTEM
  ibrav = 0, nat = 14, ntyp = 3
/
ATOMIC_SPECIES
Sr 87.62 Sr.upf
P 30.97 P.upf
Br 79.90 Br.upf
ATOMIC_POSITIONS crystal
Sr 0.127 0.256 0.741
Sr 0.135 0.732 0.743
Sr 0.268 0.011 0.403
Sr 0.515 0.386 0.259
Sr 0.609 0.865 0.597
Sr 0.614 0.873 0.129
Sr 0.744 0.485 0.871
Sr 0.989 0.391 0.257
P 0.237 0.624 0.119
P 0.376 0.495 0.612
P 0.505 0.118 0.881
P 0.750 0.250 0.500
P 0.882 0.763 0.388
Br 0.000 0.000 0.000
CELL_PARAMETERS angstrom
-4.693 4.693 4.661
4.693 -4.693 4.661
4.693 4.693 -4.661
```

For the density of states at the Fermi level, the calculation gives 0.0 states/eV/f.u. The magnetization is 0.000 μB/atom. The total energy comes out at -59.10 eV/cell. As for the space group: I-4, No. 82. The raw formation energy is -117 kJ/mol of atoms.

3.
VASP calculation (GGA-PBE) on a relaxed structure of Sr2PBr. Values from VASP.

Geometry as Quantum ESPRESSO input:
```
&SYSTEM
  ibrav = 0, nat = 4, ntyp = 3
/
ATOMIC_SPECIES
Sr 87.62 Sr.upf
P 30.97 P.upf
Br 79.90 Br.upf
ATOMIC_POSITIONS crystal
Sr 0.000 0.000 0.000
Sr 0.250 0.250 0.250
P 0.500 0.500 0.500
Br 0.750 0.750 0.750
CELL_PARAMETERS angstrom
0.000 3.824 3.824
3.824 0.000 3.824
3.824 3.824 0.000
```

For the density of states at the Fermi level, the calculation gives 0.0 states/eV/f.u. The magnetization is 0.000 μB/atom. The total energy comes out at -12.39 eV/cell. As for the space group: F-43m, No. 216. The raw formation energy is -47 kJ/mol of atoms.

4.
VASP calculation (GGA-PBE) on a relaxed structure of Sr2PBr2. Values from VASP.

Geometry as Quantum ESPRESSO input:
```
&SYSTEM
  ibrav = 0, nat = 5, ntyp = 3
/
ATOMIC_SPECIES
Sr 87.62 Sr.upf
P 30.97 P.upf
Br 79.90 Br.upf
ATOMIC_POSITIONS crystal
Sr 0.250 0.750 0.500
Sr 0.750 0.250 0.500
P 0.000 0.000 0.000
Br 0.336 0.336 0.000
Br 0.664 0.664 0.000
CELL_PARAMETERS angstrom
-2.921 2.921 4.893
2.921 -2.921 4.893
2.921 2.921 -4.893
```

For the density of states at the Fermi level, the calculation gives 0.0 states/eV/f.u. The magnetization is 0.200 μB/atom. The total energy comes out at -17.39 eV/cell. As for the space group: I4/mmm, No. 139. The raw formation energy is -102 kJ/mol of atoms.

5.
VASP calculation (GGA-PBE) on a relaxed structure of Sr3PBr2. Values from VASP.

Geometry as Quantum ESPRESSO input:
```
&SYSTEM
  ibrav = 0, nat = 6, ntyp = 3
/
ATOMIC_SPECIES
Sr 87.62 Sr.upf
P 30.97 P.upf
Br 79.90 Br.upf
ATOMIC_POSITIONS crystal
Sr 0.000 0.000 0.000
Sr 0.357 0.357 0.000
Sr 0.643 0.643 0.000
P 0.500 0.000 0.500
Br 0.175 0.675 0.500
Br 0.825 0.325 0.500
CELL_PARAMETERS angstrom
-2.233 3.118 6.879
2.233 -3.118 6.879
2.233 3.118 -6.879
```

For the density of states at the Fermi level, the calculation gives 2.4 states/eV/f.u. The magnetization is 0.000 μB/atom. The total energy comes out at -22.86 eV/cell. As for the space group: Immm, No. 71. The raw formation energy is -146 kJ/mol of atoms.

6.
VASP calculation (GGA-PBE) on a relaxed structure of Sr4P12Br. Values from VASP.

Geometry as Quantum ESPRESSO input:
```
&SYSTEM
  ibrav = 0, nat = 17, ntyp = 3
/
ATOMIC_SPECIES
Sr 87.62 Sr.upf
P 30.97 P.upf
Br 79.90 Br.upf
ATOMIC_POSITIONS crystal
Sr 0.000 0.000 0.500
Sr 0.000 0.500 0.000
Sr 0.500 0.000 0.000
Sr 0.500 0.500 0.500
P 0.110 0.390 0.500
P 0.110 0.610 0.720
P 0.280 0.890 0.390
P 0.390 0.280 0.890
P 0.390 0.500 0.110
P 0.500 0.110 0.390
P 0.500 0.890 0.610
P 0.610 0.500 0.890
P 0.610 0.720 0.110
P 0.720 0.110 0.610
P 0.890 0.390 0.280
P 0.890 0.610 0.500
Br 0.000 0.000 0.000
CELL_PARAMETERS angstrom
-4.920 4.920 4.920
4.920 -4.920 4.920
4.920 4.920 -4.920
```

For the density of states at the Fermi level, the calculation gives 4.0 states/eV/f.u. The magnetization is 0.000 μB/atom. The total energy comes out at -82.79 eV/cell. As for the space group: Im-3, No. 204. The raw formation energy is -54 kJ/mol of atoms.

Number 1 is which compound? Sr3PBr